(1)
A relaxed structure of EuPuSe2, computed with PBE.

abc: 3.631 5.188 5.188
angles: 90.00 90.00 90.00
Site moments in Bohr magnetons follow the coordinates.
Fractional coordinates of all 4 atoms:
Se 0.000 0.500 0.000  -0.10
Se 0.000 0.000 0.500  -0.10
Eu 0.500 0.500 0.500  6.93
Pu 0.500 0.000 0.000  5.63

Results
Raw total energy ... -9.39 eV/atom
Size of the total moment ... 3.250 μB per atom

(2)
A relaxed structure of Al8ZnGa2, computed with PBE.

abc: 4.818 7.040 7.040
angles: 60.80 79.51 79.51
Fractional coordinates of all 11 atoms:
Ga 0.494 0.130 0.130
Ga 0.506 0.870 0.870
Al 0.941 0.234 0.234
Al 0.349 0.363 0.363
Al 0.214 0.761 0.369
Al 0.786 0.631 0.239
Al 0.214 0.369 0.761
Al 0.786 0.239 0.631
Al 0.059 0.766 0.766
Al 0.651 0.637 0.637
Zn 0.000 0.000 0.000

Results
Raw total energy ... -3.25 eV/atom
Size of the total moment ... 0.000 μB per atom
Formation energy ... 0.141 eV/atom

(3)
A relaxed structure of PaTi2Os, computed with PBE.

abc: 4.588 4.588 4.588
angles: 60.00 60.00 60.00
Fractional coordinates of all 4 atoms:
Os 0.000 0.000 0.000
Ti 0.250 0.250 0.250
Ti 0.750 0.750 0.750
Pa 0.500 0.500 0.500

Results
Raw total energy ... -9.31 eV/atom
Size of the total moment ... 0.000 μB per atom
Formation energy ... -0.184 eV/atom

(4)
A relaxed structure of Nd6Co2CI3, computed with PBE.

abc: 7.001 7.001 8.307
angles: 98.06 98.06 119.94
Fractional coordinates of all 12 atoms:
Nd 0.058 0.376 0.176
Nd 0.740 0.740 0.176
Nd 0.624 0.942 0.824
Nd 0.376 0.058 0.176
Nd 0.942 0.624 0.824
Nd 0.260 0.260 0.824
I 0.833 0.167 0.500
I 0.500 0.500 0.500
I 0.167 0.833 0.500
C 0.000 0.000 0.000
Co 0.667 0.333 0.000
Co 0.333 0.667 0.000

Results
Raw total energy ... -5.30 eV/atom
Size of the total moment ... 0.000 μB per atom